# 1
Ta2Ga | PBE | optimized geometry

a b c (Å): 3.4362 3.4362 8.7967
angles (deg): 90.00 90.00 90.00
Space group I4/mmm (No. 139)
Symmetry-distinct sites (fractional):
Ta (0.0000, 0.0000, 0.1653) x4
Ga (0.0000, 0.0000, 0.5000) x2

Total DFT energy (no corrections) (eV/atom): -9.030
Size of the total moment (μB per formula unit): 0.000
Mass density (kg/m³): 13800
DFT formation energy (eV/atom): -0.1197

# 2
Ta2Ga | PBE | optimized geometry

a b c (Å): 9.9113 9.9113 5.2065
angles (deg): 90.00 90.00 90.00
Space group P4_2/mnm (No. 136)
Symmetry-distinct sites (fractional):
Ta (0.0359, 0.3703, 0.0000) x8
Ta (0.1018, 0.1018, 0.0000) x4
Ta (0.1818, 0.8182, 0.2485) x8
Ga (0.0000, 0.0000, 0.5000) x2
Ga (0.0667, 0.2644, 0.5000) x8

Total DFT energy (no corrections) (eV/atom): -9.128
Size of the total moment (μB per formula unit): 0.000
Mass density (kg/m³): 14014
DFT formation energy (eV/atom): -0.2173

# 3
Ta4Ga3 | PBE | optimized geometry

a b c (Å): 3.4763 3.4763 20.1217
angles (deg): 90.00 90.00 90.00
Space group I4/mmm (No. 139)
Symmetry-distinct sites (fractional):
Ta (0.0000, 0.0000, 0.0755) x4
Ta (0.0000, 0.0000, 0.3568) x4
Ga (0.0000, 0.0000, 0.2147) x4
Ga (0.0000, 0.0000, 0.5000) x2

Total DFT energy (no corrections) (eV/atom): -8.166
Size of the total moment (μB per formula unit): 0.000
Mass density (kg/m³): 12742
DFT formation energy (eV/atom): -0.0960

# 4
TaGa5 | PBE | optimized geometry

a b c (Å): 5.1096 5.1096 9.0146
angles (deg): 90.00 90.00 120.00
Space group P6_322 (No. 182)
Symmetry-distinct sites (fractional):
Ta (0.3333, 0.6667, 0.2500) x2
Ga (0.0000, 0.0000, 0.2500) x2
Ga (0.0000, 0.3522, 0.5000) x6
Ga (0.3333, 0.6667, 0.7500) x2

Total DFT energy (no corrections) (eV/atom): -4.548
Size of the total moment (μB per formula unit): 0.000
Mass density (kg/m³): 8629
DFT formation energy (eV/atom): -0.0497

# 5
TaGa4 | PBE | optimized geometry

a b c (Å): 5.0796 5.0796 5.0796
angles (deg): 90.00 90.00 90.00
Space group Pm-3m (No. 221)
Symmetry-distinct sites (fractional):
Ta (0.0000, 0.0000, 0.0000) x1
Ga (0.0000, 0.0000, 0.5000) x3
Ga (0.5000, 0.5000, 0.5000) x1

Total DFT energy (no corrections) (eV/atom): -4.260
Size of the total moment (μB per formula unit): 0.000
Mass density (kg/m³): 5826
DFT formation energy (eV/atom): 0.5318

# 6
TbTaGa2 | PBE | optimized geometry

a b c (Å): 3.5327 3.5327 6.2688
angles (deg): 90.00 90.00 90.00
Space group P4/mmm (No. 123)
Symmetry-distinct sites (fractional):
Tb (0.0000, 0.0000, 0.0000) x1
Ta (0.0000, 0.0000, 0.5000) x1
Ga (0.5000, 0.5000, 0.2941) x2

Total DFT energy (no corrections) (eV/atom): -5.874
Size of the total moment (μB per formula unit): 0.000
Mass density (kg/m³): 10173
DFT formation energy (eV/atom): -0.2397

# 7
TbTaGa2 | PBE | optimized geometry

a b c (Å): 3.1178 3.1178 28.5660
angles (deg): 90.00 90.00 120.00
Space group R-3m (No. 166, hexagonal axes)
Symmetry-distinct sites (fractional):
Tb (0.0000, 0.0000, 0.0000) x3
Ta (0.0000, 0.0000, 0.5000) x3
Ga (0.0000, 0.0000, 0.2437) x6

Total DFT energy (no corrections) (eV/atom): -5.682
Size of the total moment (μB per formula unit): 0.000
Mass density (kg/m³): 9929
DFT formation energy (eV/atom): -0.0482

# 8
TaGaTc2 | PBE | optimized geometry

a b c (Å): 6.8851 6.8851 5.6820
angles (deg): 90.00 90.00 90.00
Space group I-42d (No. 122)
Symmetry-distinct sites (fractional):
Ta (0.0000, 0.0000, 0.0000) x4
Ga (0.0000, 0.0000, 0.5000) x4
Tc (0.2445, 0.2500, 0.6250) x8

Total DFT energy (no corrections) (eV/atom): -8.347
Size of the total moment (μB per formula unit): 0.000
Mass density (kg/m³): 11015
DFT formation energy (eV/atom): 0.5559